Computed, not measured: Th4PtRh after structural relaxation at the PBE-GGA level of DFT.

Geometry as POSCAR:
```
Th4PtRh
1.0
7.267 0.000 0.000
0.000 7.267 0.000
0.000 0.000 5.980
Th Pt Rh
8 2 2
direct
0.161 0.332 0.000
0.161 0.668 0.500
0.332 0.161 0.500
0.332 0.839 0.000
0.668 0.161 0.000
0.668 0.839 0.500
0.839 0.332 0.500
0.839 0.668 0.000
0.500 0.500 0.250
0.500 0.500 0.750
0.000 0.000 0.250
0.000 0.000 0.750
```

Properties
The value obtained for the total magnetization is 0.000 μB per formula unit. As for the density of states at the Fermi level: 15.825 states/eV/cell. Its raw total energy is -47.1 eV/f.u. As for the energy relative to the elements: -0.671 eV per atom.

Computed, not measured: Zr2AsAuF after structural relaxation at the PBE-GGA level of DFT.

Geometry as POSCAR:
```
Zr2AsAuF
1.0
5.194 0.000 0.000
0.000 5.194 0.000
0.000 0.000 3.950
Zr As Au F
2 1 1 1
direct
0.000 0.500 0.000
0.500 0.000 0.000
0.000 0.000 0.000
0.500 0.500 0.500
0.000 0.000 0.500
```

Properties
The value obtained for the total magnetization is 0.000 μB per formula unit. As for the density of states at the Fermi level: 3.207 states/eV/cell. Its raw total energy is -28.7 eV/f.u. The value obtained for the formation energy from raw total energies is -0.368 eV/atom.

Computed, not measured: KBaIr2 after structural relaxation at the PBE-GGA level of DFT.

Geometry as POSCAR:
```
KBaIr2
1.0
3.097 0.000 0.000
0.000 3.992 0.000
0.000 0.000 9.774
K Ba Ir
1 1 2
direct
0.000 0.000 0.000
0.500 0.500 0.439
0.000 0.000 0.673
0.500 0.500 0.743
```

Properties
The value obtained for the total magnetization is 0.229 μB per formula unit. As for the density of states at the Fermi level: 4.456 states/eV/cell. Its raw total energy is -19.4 eV/f.u. As for the energy relative to the elements: 0.342 eV per atom. Its polymorph energy (0 for the lowest one) is 274 meV/atom.

Computed, not measured: MnFeTe2 after structural relaxation at the PBE-GGA level of DFT.

Geometry as POSCAR:
```
MnFeTe2
1.0
1.987 1.147 6.490
-1.987 1.147 6.490
0.000 -2.294 6.490
Mn Fe Te
1 1 2
direct
0.000 0.000 0.000
0.500 0.500 0.500
0.246 0.246 0.246
0.754 0.754 0.754
```

Properties
The value obtained for the total magnetization is 7.587 μB per formula unit. As for the density of states at the Fermi level: 5.452 states/eV/cell. Its raw total energy is -23.3 eV/f.u. The value obtained for the formation energy from raw total energies is 0.156 eV/atom.

Computed, not measured: Hf2ZrTaRh after structural relaxation at the PBE-GGA level of DFT.

Geometry as POSCAR:
```
Hf2ZrTaRh
1.0
5.064 0.000 0.000
0.000 5.064 0.000
0.000 0.000 4.683
Hf Zr Ta Rh
2 1 1 1
direct
0.000 0.500 0.000
0.500 0.000 0.000
0.000 0.000 0.500
0.500 0.500 0.000
0.500 0.500 0.500
```

Properties
The value obtained for the total magnetization is 0.000 μB per formula unit. As for the density of states at the Fermi level: 7.725 states/eV/cell. Its raw total energy is -43.4 eV/f.u. As for the energy relative to the elements: 0.851 eV per atom.

Computed, not measured: PmDy3Hg2 after structural relaxation at the PBE-GGA level of DFT.

Geometry as POSCAR:
```
PmDy3Hg2
1.0
3.691 0.000 0.000
0.000 3.691 0.000
0.000 0.000 12.454
Pm Dy Hg
1 3 2
direct
0.000 0.000 0.000
0.500 0.500 0.200
0.500 0.500 0.500
0.500 0.500 0.800
0.000 0.000 0.349
0.000 0.000 0.651
```

Properties
The value obtained for the total magnetization is 0.001 μB per formula unit. As for the density of states at the Fermi level: 6.695 states/eV/cell. Its raw total energy is -21.0 eV/f.u. As for the energy relative to the elements: -0.312 eV per atom. Its polymorph energy (0 for the lowest one) is 39 meV/atom.

Computed, not measured: Er2Mg2Hg after structural relaxation at the PBE-GGA level of DFT.

Geometry as POSCAR:
```
Er2Mg2Hg
1.0
2.570 1.484 5.580
-2.570 1.484 5.580
0.000 -2.967 5.580
Er Mg Hg
2 2 1
direct
0.104 0.104 0.104
0.896 0.896 0.896
0.319 0.319 0.319
0.681 0.681 0.681
0.500 0.500 0.500
```

Properties
The value obtained for the total magnetization is 0.002 μB per formula unit. As for the density of states at the Fermi level: 5.360 states/eV/cell. Its raw total energy is -13.6 eV/f.u. As for the energy relative to the elements: -0.188 eV per atom.

Computed, not measured: Ac5CeTl5 after structural relaxation at the PBE-GGA level of DFT.

Geometry as POSCAR:
```
Ac5CeTl5
1.0
9.567 -3.084 0.000
9.567 3.084 0.000
-2.926 0.000 6.901
Ac Ce Tl
5 1 5
direct
0.000 0.000 0.000
0.307 0.307 0.307
0.366 0.366 0.865
0.634 0.634 0.135
0.693 0.693 0.693
0.000 0.000 0.500
0.159 0.159 0.440
0.159 0.159 0.879
0.500 0.500 0.500
0.841 0.841 0.121
0.841 0.841 0.560
```

Properties
The value obtained for the total magnetization is 1.209 μB per formula unit. As for the density of states at the Fermi level: 18.970 states/eV/cell. Its raw total energy is -39.8 eV/f.u. As for the energy relative to the elements: -0.135 eV per atom.

Question: Which value of raw total energy does entry 2 give?
Answer: -28.7 eV/f.u.